(1)
SmDy2PaSb4 | PBE-GGA | relaxed

Lattice parameters (Å, degrees): 4.3962 7.6311 7.6091 109.34 90.00 90.00
Closest atoms and distances in Å follow each position.
Sites, in units of the cell vectors:
Sb: 0.5000 0.2549 0.2529  3 Dy 3.09-3.12, 1 Pa 3.10, 2 Sm 3.14
Sb: 0.0000 0.7482 0.2521  3 Dy 3.08-3.11, 2 Pa 3.11, 1 Sm 3.13
Sb: 0.5000 0.7451 0.7471  3 Dy 3.09-3.12, 1 Pa 3.10, 2 Sm 3.14
Pa: 0.5000 0.5000 0.0000  6 Sb 3.10-3.11
Sb: 0.0000 0.2518 0.7479  3 Dy 3.08-3.11, 2 Pa 3.11, 1 Sm 3.13
Dy: 0.5000 0.0000 0.5000  6 Sb 3.11-3.12
Sm: 0.0000 0.0000 0.0000  6 Sb 3.13-3.14
Dy: 0.0000 0.5000 0.5000  6 Sb 3.08-3.09

Energy, eV/cell: -47.7
ΔE_f (raw), eV per atom: -0.969



(2)
Sr3Dy2PaSb6 | PBE-GGA | relaxed

Lattice parameters (Å, degrees): 7.8359 7.8359 8.0459 99.33 99.33 120.03
Closest atoms and distances in Å follow each position.
Sites, in units of the cell vectors:
Sb: 0.5981 0.9261 0.7778  1 Pa 3.08, 2 Dy 3.13, 3 Sr 3.34-3.37
Sr: 0.8312 0.1688 0.5000  6 Sb 3.34-3.37
Pa: 0.0000 0.0000 0.0000  6 Sb 3.08
Sb: 0.9261 0.5981 0.7778  1 Pa 3.08, 2 Dy 3.13, 3 Sr 3.34-3.37
Sb: 0.4019 0.0739 0.2222  1 Pa 3.08, 2 Dy 3.13, 3 Sr 3.34-3.37
Sb: 0.0739 0.4019 0.2222  1 Pa 3.08, 2 Dy 3.13, 3 Sr 3.34-3.37
Sb: 0.7467 0.7467 0.2229  1 Pa 3.08, 2 Dy 3.13, 3 Sr 3.36-3.39
Sr: 0.5000 0.5000 0.5000  6 Sb 3.35-3.39
Dy: 0.6664 0.3336 0.0000  6 Sb 3.13
Sr: 0.1688 0.8312 0.5000  6 Sb 3.34-3.37
Dy: 0.3336 0.6664 0.0000  6 Sb 3.13
Sb: 0.2533 0.2533 0.7771  1 Pa 3.08, 2 Dy 3.13, 3 Sr 3.36-3.39

Energy, eV/cell: -59.7
ΔE_f (raw), eV per atom: -0.939



(3)
TbDy2PaSb4 | PBE-GGA | relaxed

Lattice parameters (Å, degrees): 4.3795 7.5940 7.5882 109.35 90.00 90.00
Closest atoms and distances in Å follow each position.
Sites, in units of the cell vectors:
Sb: 0.5000 0.2516 0.2500  1 Pa 3.09, 3 Dy 3.10-3.11, 2 Tb 3.11
Sb: 0.5000 0.7484 0.7500  1 Pa 3.09, 3 Dy 3.10-3.11, 2 Tb 3.11
Sb: 0.0000 0.2501 0.7492  3 Dy 3.09-3.10, 1 Tb 3.10, 2 Pa 3.10
Sb: 0.0000 0.7499 0.2508  3 Dy 3.09-3.10, 1 Tb 3.10, 2 Pa 3.10
Tb: 0.0000 0.0000 0.0000  6 Sb 3.10-3.11
Dy: 0.0000 0.5000 0.5000  6 Sb 3.09-3.10
Dy: 0.5000 0.0000 0.5000  6 Sb 3.10-3.11
Pa: 0.5000 0.5000 0.0000  6 Sb 3.09-3.10

Energy, eV/cell: -47.5
ΔE_f (raw), eV per atom: -0.963



(4)
Tb2DyPaSb4 | PBE-GGA | relaxed

Lattice parameters (Å, degrees): 4.3855 7.5953 7.6003 109.36 90.00 90.00
Closest atoms and distances in Å follow each position.
Sites, in units of the cell vectors:
Dy: 0.0000 0.0000 0.0000  6 Sb 3.09-3.10
Sb: 0.5000 0.7496 0.7521  1 Pa 3.08, 2 Dy 3.10, 3 Tb 3.11
Sb: 0.5000 0.2504 0.2479  1 Pa 3.08, 2 Dy 3.10, 3 Tb 3.11
Tb: 0.0000 0.5000 0.5000  6 Sb 3.10-3.11
Sb: 0.0000 0.2501 0.7509  1 Dy 3.09, 2 Pa 3.10, 3 Tb 3.10-3.11
Pa: 0.5000 0.5000 0.0000  6 Sb 3.08-3.10
Tb: 0.5000 0.0000 0.5000  6 Sb 3.11
Sb: 0.0000 0.7499 0.2491  1 Dy 3.09, 2 Pa 3.10, 3 Tb 3.10-3.11

Energy, eV/cell: -47.6
ΔE_f (raw), eV per atom: -0.967



(5)
DyPaSbTe | PBE-GGA | relaxed

Lattice parameters (Å, degrees): 5.3097 5.3097 5.3097 60.00 60.00 60.00
Closest atoms and distances in Å follow each position.
Sites, in units of the cell vectors:
Pa: 0.2500 0.2500 0.2500  4 Sb 3.25, 4 Te 3.25
Sb: 0.5000 0.5000 0.5000  4 Dy 3.25, 4 Pa 3.25
Te: 0.0000 0.0000 0.0000  4 Dy 3.25, 4 Pa 3.25
Dy: 0.7500 0.7500 0.7500  4 Te 3.25, 4 Sb 3.25

Energy, eV/cell: -24.3
ΔE_f (raw), eV per atom: -0.746



(6)
DyTh2PaSb4 | PBE-GGA | relaxed

Lattice parameters (Å, degrees): 4.4420 7.6910 7.6873 109.48 90.00 90.00
Closest atoms and distances in Å follow each position.
Sites, in units of the cell vectors:
Sb: 0.5000 0.2471 0.2394  1 Dy 3.09, 2 Pa 3.10, 3 Th 3.18-3.19
Sb: 0.0000 0.2532 0.7605  1 Pa 3.09, 2 Dy 3.10, 3 Th 3.18-3.19
Sb: 0.5000 0.7529 0.7606  1 Dy 3.09, 2 Pa 3.10, 3 Th 3.18-3.19
Sb: 0.0000 0.7468 0.2395  1 Pa 3.09, 2 Dy 3.10, 3 Th 3.18-3.19
Pa: 0.0000 0.0000 0.0000  6 Sb 3.09-3.10
Th: 0.0000 0.5000 0.5000  6 Sb 3.18-3.19
Th: 0.5000 0.0000 0.5000  6 Sb 3.18-3.19
Dy: 0.5000 0.5000 0.0000  6 Sb 3.09-3.10

Energy, eV/cell: -52.2
ΔE_f (raw), eV per atom: -0.841



(7)
DyTh2PaSb5 | PBE-GGA | relaxed

Lattice parameters (Å, degrees): 5.2772 5.2772 11.5742 90.00 90.00 90.00
Closest atoms and distances in Å follow each position.
Sites, in units of the cell vectors:
Sb: 0.0000 0.0000 0.2481  1 Pa 2.87, 1 Dy 2.92
Th: 0.5000 0.5000 0.3191  5 Sb 3.37-3.69
Dy: 0.0000 0.0000 0.5000  6 Sb 2.64-2.92
Pa: 0.0000 0.0000 0.0000  2 Sb 2.87
Sb: 0.5000 0.0000 0.5000  2 Dy 2.64
Sb: 0.0000 0.0000 0.7519  1 Pa 2.87, 1 Dy 2.92
Th: 0.5000 0.5000 0.6809  5 Sb 3.37-3.69
Sb: 0.5000 0.5000 0.0000  2 Th 3.69, 4 Pa 3.73
Sb: 0.0000 0.5000 0.5000  2 Dy 2.64

Energy, eV/cell: -49.7
ΔE_f (raw), eV per atom: -0.014



(8)
Dy2TmPaSb4 | PBE-GGA | relaxed

Lattice parameters (Å, degrees): 4.3675 7.5545 7.5694 109.38 90.00 90.00
Closest atoms and distances in Å follow each position.
Sites, in units of the cell vectors:
Dy: 0.0000 0.5000 0.5000  6 Sb 3.10
Pa: 0.5000 0.5000 0.0000  6 Sb 3.08-3.09
Sb: 0.0000 0.7517 0.2494  1 Tm 3.07, 3 Dy 3.09-3.10, 2 Pa 3.09
Sb: 0.5000 0.2483 0.2470  2 Tm 3.07, 1 Pa 3.08, 3 Dy 3.09-3.10
Sb: 0.5000 0.7517 0.7530  2 Tm 3.07, 1 Pa 3.08, 3 Dy 3.09-3.10
Tm: 0.0000 0.0000 0.0000  6 Sb 3.07
Dy: 0.5000 0.0000 0.5000  6 Sb 3.09
Sb: 0.0000 0.2483 0.7506  1 Tm 3.07, 3 Dy 3.09-3.10, 2 Pa 3.09

Energy, eV/cell: -47.2
ΔE_f (raw), eV per atom: -0.940



(9)
Dy2ScPa | PBE-GGA | relaxed

Lattice parameters (Å, degrees): 3.3397 3.3397 9.9769 90.00 90.00 90.00
Closest atoms and distances in Å follow each position.
Sites, in units of the cell vectors:
Dy: 0.0000 0.0000 0.7450  4 Dy 3.34, 4 Pa 3.40, 4 Sc 3.47
Dy: 0.0000 0.0000 0.2550  4 Dy 3.34, 4 Pa 3.40, 4 Sc 3.47
Pa: 0.5000 0.5000 0.5000  4 Pa 3.34, 8 Dy 3.40
Sc: 0.5000 0.5000 0.0000  4 Sc 3.34, 8 Dy 3.47

Calculated formation energy, meV per atom: 141
Energy, eV/cell: -24.5



(10)
Dy2ScPa | PBE-GGA | relaxed

Lattice parameters (Å, degrees): 3.3689 3.3689 11.3883 81.49 81.49 60.00
Closest atoms and distances in Å follow each position.
Sites, in units of the cell vectors:
Sc: 0.6664 0.6664 0.0009  6 Sc 3.37, 6 Dy 3.40-3.41
Dy: 0.2501 0.2501 0.2498  6 Dy 3.37, 3 Pa 3.40, 3 Sc 3.40
Pa: 0.5005 0.5005 0.4985  6 Pa 3.37, 6 Dy 3.40-3.43
Dy: 0.0831 0.0831 0.7508  6 Dy 3.37, 3 Sc 3.41, 3 Pa 3.43

Calculated formation energy, meV per atom: 118
Energy, eV/cell: -24.6



(11)
Dy2ScPa | PBE-GGA | relaxed

Lattice parameters (Å, degrees): 3.2732 3.2732 12.0528 82.20 82.20 60.00
Closest atoms and distances in Å follow each position.
Sites, in units of the cell vectors:
Pa: 0.0000 0.0000 0.0000  2 Dy 3.19, 6 Pa 3.27
Dy: 0.0895 0.0895 0.7316  1 Pa 3.19, 6 Dy 3.27, 3 Sc 3.34
Dy: 0.9105 0.9105 0.2684  1 Pa 3.19, 6 Dy 3.27, 3 Sc 3.34
Sc: 0.5000 0.5000 0.5000  6 Sc 3.27, 6 Dy 3.34

Calculated formation energy, meV per atom: 260
Energy, eV/cell: -24.0



(12)
Dy2ScPa | PBE-GGA | relaxed

Lattice parameters (Å, degrees): 4.7880 4.8102 4.8102 90.00 90.00 90.00
Closest atoms and distances in Å follow each position.
Sites, in units of the cell vectors:
Pa: 0.5000 0.5000 0.5000  8 Dy 3.39, 4 Sc 3.40
Sc: 0.5000 0.0000 0.0000  8 Dy 3.39, 4 Pa 3.40
Dy: 0.0000 0.0000 0.5000  4 Pa 3.39, 4 Sc 3.39, 4 Dy 3.40
Dy: 0.0000 0.5000 0.0000  4 Pa 3.39, 4 Sc 3.39, 4 Dy 3.40

Calculated formation energy, meV per atom: 197
Energy, eV/cell: -24.2



Per-record mass density, g/cm3: 8.228, 6.360, 8.382, 8.332, 10.086, 9.018, 7.554, 8.543, 8.968, 9.049, 9.036, 9.008